Record 1
# GdLuCuPb

A relaxed GdLuCuPb crystal (PBE-GGA, Alexandria via LeMat-Bulk).

Cell: 5.174 5.174 5.174 Å, 60.00 60.00 60.00°
Positions (direct):
Gd 0.000 0.000 0.000
Lu 0.500 0.500 0.500
Cu 0.750 0.750 0.750
Pb 0.250 0.250 0.250

Calculated density   10.2 Mg/m³
Size of the total moment   7.800 Bohr magnetons per cell
Energy of formation from the pure elements   -1.2 eV/f.u.
Symmetry   F-43m

=====

Record 2
# TlBiC3

A relaxed TlBiC3 crystal (PBE-GGA, Alexandria via LeMat-Bulk).

Cell: 4.662 4.662 4.662 Å, 90.00 90.00 90.00°
Positions (direct):
Tl 0.000 0.000 0.000
Bi 0.500 0.500 0.500
C 0.000 0.500 0.500
C 0.500 0.000 0.500
C 0.500 0.500 0.000

Calculated density   7.4 Mg/m³
Size of the total moment   3.530 Bohr magnetons per cell
Energy of formation from the pure elements   15.4 eV/f.u.
Symmetry   Pm-3m

=====

Record 3
# Re2PRu

A relaxed Re2PRu crystal (PBE-GGA, Alexandria via LeMat-Bulk).

Cell: 5.039 5.039 4.222 Å, 90.49 90.49 33.38°
Positions (direct):
Re 0.215 0.215 0.259
Re 0.785 0.785 0.741
P 0.000 0.000 0.000
Ru 0.500 0.500 0.500

Calculated density   14.2 Mg/m³
Size of the total moment   0.000 Bohr magnetons per cell
Energy of formation from the pure elements   0.4 eV/f.u.
Symmetry   C2/m

=====

Record 4
# Li3Rh3O8

A relaxed Li3Rh3O8 crystal (PBE-GGA, Alexandria via LeMat-Bulk).

Cell: 5.949 5.949 5.949 Å, 61.85 61.85 61.85°
Positions (direct):
Li 0.000 0.000 0.000
Li 0.382 0.382 0.382
Li 0.618 0.618 0.618
Rh 0.000 0.000 0.500
Rh 0.000 0.500 0.000
Rh 0.500 0.000 0.000
O 0.212 0.752 0.752
O 0.240 0.240 0.240
O 0.248 0.248 0.788
O 0.248 0.788 0.248
O 0.752 0.212 0.752
O 0.752 0.752 0.212
O 0.760 0.760 0.760
O 0.788 0.248 0.248

Calculated density   4.9 Mg/m³
Size of the total moment   1.921 Bohr magnetons per cell
Uncorrected energy   -5.943 eV/atom
Symmetry   R-3m

=====

Record 5
# LiPaTc2O8

A relaxed LiPaTc2O8 crystal (PBE-GGA, Alexandria via LeMat-Bulk).

Cell: 5.951 5.951 6.285 Å, 90.00 90.00 120.00°
Positions (direct):
Li 0.000 0.000 0.000
Pa 0.000 0.000 0.500
Tc 0.333 0.667 0.829
Tc 0.667 0.333 0.171
O 0.163 0.325 0.723
O 0.163 0.837 0.723
O 0.325 0.163 0.277
O 0.333 0.667 0.104
O 0.667 0.333 0.896
O 0.675 0.837 0.723
O 0.837 0.163 0.277
O 0.837 0.675 0.277

Calculated density   4.8 Mg/m³
Size of the total moment   4.034 Bohr magnetons per cell
Uncorrected energy   -7.889 eV/atom
Symmetry   P-3m1

=====

Record 6
# Eu2H4Ru

A relaxed Eu2H4Ru crystal (PBE-GGA, Alexandria via LeMat-Bulk).

Cell: 7.643 7.643 7.643 Å, 151.82 151.82 40.28°
Positions (direct):
Eu 0.127 0.127 0.000
Eu 0.873 0.873 0.000
H 0.000 0.500 0.500
H 0.377 0.377 0.000
H 0.500 0.000 0.500
H 0.623 0.623 0.000
Ru 0.500 0.500 0.000

Calculated density   6.8 Mg/m³
Size of the total moment   14.621 Bohr magnetons per cell
Uncorrected energy   -6.603 eV/atom
Symmetry   I4/mmm

=====

Record 7
# BaZr4Pd3O12

A relaxed BaZr4Pd3O12 crystal (PBE-GGA, Alexandria via LeMat-Bulk).

Cell: 6.958 6.958 6.958 Å, 109.47 109.47 109.47°
Positions (direct):
Ba 0.000 0.000 0.000
Zr 0.000 0.000 0.500
Zr 0.000 0.500 0.000
Zr 0.500 0.000 0.000
Zr 0.500 0.500 0.500
Pd 0.000 0.500 0.500
Pd 0.500 0.000 0.500
Pd 0.500 0.500 0.000
O 0.132 0.828 0.305
O 0.172 0.305 0.477
O 0.172 0.695 0.868
O 0.305 0.132 0.828
O 0.305 0.477 0.172
O 0.477 0.172 0.305
O 0.523 0.828 0.695
O 0.695 0.523 0.828
O 0.695 0.868 0.172
O 0.828 0.305 0.132
O 0.828 0.695 0.523
O 0.868 0.172 0.695

Calculated density   6.5 Mg/m³
Size of the total moment   0.000 Bohr magnetons per cell
Uncorrected energy   -7.876 eV/atom
Symmetry   Im-3

=====

Record 8
# Dy2HfCl

A relaxed Dy2HfCl crystal (PBE-GGA, Alexandria via LeMat-Bulk).

Cell: 9.807 9.807 9.807 Å, 20.45 20.45 20.45°
Positions (direct):
Dy 0.244 0.244 0.244
Dy 0.756 0.756 0.756
Hf 0.000 0.000 0.000
Cl 0.500 0.500 0.500

Calculated density   8.9 Mg/m³
Size of the total moment   0.000 Bohr magnetons per cell
Uncorrected energy   -5.829 eV/atom
Symmetry   R-3m

=====

Q: What is the formula in the eighth record?
A: Dy2HfCl